DFT (PBE) results for Mg8HgBi6 after structural relaxation.

Structure (CIF):
```
data_Mg8HgBi6
_space_group_name_H-M_alt 'R -3'
_space_group_IT_number 148
_space_group_name_Hall '-R 3'
_cell_length_a 11.9267
_cell_length_b 11.9267
_cell_length_c 10.6715
_cell_angle_alpha 90.00
_cell_angle_beta 90.00
_cell_angle_gamma 120.00
loop_
_atom_site_label
_atom_site_fract_x
_atom_site_fract_y
_atom_site_fract_z
Mg1 0.0000 0.0000 0.1523
Mg2 0.0568 0.4730 0.3626
Hg1 0.0000 0.0000 0.5000
Bi1 0.0643 0.4732 0.8603
```

Values from the calculation:
The calculation puts the formation enthalpy at 0 K at -88 meV per atom. Its size of the total moment is 0.00 μB per formula unit. The density of states at the Fermi level is 7.2 states/eV/f.u. For the volume, the calculation gives 29.213 Å³ per atom.